Density functional theory data (PBE) for crystalline TcNiGe2 at its relaxed geometry.

Computed properties:
Formation energy (eV per atom): 0.030
Size of the total moment (μB/f.u.): 0.76
Energy relative to the lowest polymorph listed for this composition (kJ/mol of formula units): 106
Final energy (eV for the cell shown): -25.26

Lattice parameters (Å, degrees): 4.295 4.295 4.295 60.00 60.00 60.00
Fractional coordinates of all 4 atoms:
Tc 0.000 0.000 0.000
Ni 0.500 0.500 0.500
Ge 0.250 0.250 0.250
Ge 0.750 0.750 0.750

Density functional theory data (PBE) for crystalline YIrI2N at its relaxed geometry.

Computed properties:
Size of the total moment (μB/f.u.): 0.00
Energy relative to the lowest polymorph listed for this composition (kJ/mol of formula units): 0
Formation energy without anion corrections (meV per atom): 59
Final energy (eV for the cell shown): -26.45

Lattice parameters (Å, degrees): 5.770 5.770 3.726 90.00 90.00 90.00
Fractional coordinates of all 5 atoms:
Y 0.000 0.000 0.000
Ir 0.500 0.500 0.500
I 0.000 0.500 0.500
I 0.500 0.000 0.500
N 0.500 0.500 0.000

Repeat the second record exactly.
Density functional theory data (PBE) for crystalline YIrI2N at its relaxed geometry.

Computed properties:
Size of the total moment (μB/f.u.): 0.00
Energy relative to the lowest polymorph listed for this composition (kJ/mol of formula units): 0
Formation energy without anion corrections (meV per atom): 59
Final energy (eV for the cell shown): -26.45

Lattice parameters (Å, degrees): 5.770 5.770 3.726 90.00 90.00 90.00
Fractional coordinates of all 5 atoms:
Y 0.000 0.000 0.000
Ir 0.500 0.500 0.500
I 0.000 0.500 0.500
I 0.500 0.000 0.500
N 0.500 0.500 0.000